Ac2La6Tl | PBE | relaxed Values from VASP.

Structure (Quantum ESPRESSO input):
```
&SYSTEM
  ibrav = 0, nat = 18, ntyp = 3
/
ATOMIC_SPECIES
La 138.91 La.upf
Ac 227.00 Ac.upf
Tl 204.38 Tl.upf
CELL_PARAMETERS angstrom
9.613 -4.423 5.076
0.386 6.927 0.524
1.987 -4.423 10.687
ATOMIC_POSITIONS crystal
La 0.849 0.294 0.999
La 0.915 0.914 0.414
La 0.501 0.947 0.651
La 0.414 0.414 0.915
La 0.651 0.447 0.501
La 0.586 0.586 0.085
La 0.999 0.794 0.849
La 0.085 0.086 0.586
La 0.349 0.553 0.499
La 0.001 0.206 0.151
La 0.499 0.053 0.349
La 0.151 0.706 0.001
Ac 0.826 0.396 0.674
Ac 0.326 0.104 0.174
Ac 0.674 0.896 0.826
Ac 0.174 0.604 0.326
Tl 0.750 0.750 0.250
Tl 0.250 0.250 0.750
```

Computed properties:
total DFT energy (no corrections)	-4.490	eV per atom
space-group type	C2/c